Entry 1:
Here is a relaxed Al2CdHg crystal from Alexandria. Energies are from PBEsol.

Results
As for the energy relative to the lowest polymorph listed for this composition: 0 meV/atom. Its calculated formation energy is 0.133 eV per atom.

abc: 4.263 4.263 5.196
angles: 114.22 114.22 90.00
Positions (direct):
Al 0.000 0.000 0.000
Al 0.750 0.250 0.500
Cd 0.500 0.500 0.000
Hg 0.250 0.750 0.500

Entry 2:
Here is a relaxed Ba2MgAu crystal from Alexandria. Energies are from PBEsol.

Results
Its calculated formation energy is -0.329 eV per atom.

abc: 3.990 3.990 8.738
angles: 90.00 90.00 90.00
Positions (direct):
Mg 0.500 0.500 0.000
Au 0.500 0.500 0.500
Ba 0.000 0.000 0.284
Ba 0.000 0.000 0.716

Entry 3:
Here is a relaxed Tl2Sb crystal from Alexandria. Energies are from PBEsol.

Results
For the uncorrected formation energy, the calculation gives 127 meV/atom. As for the energy relative to the lowest polymorph listed for this composition: 121 meV/atom.

abc: 4.597 5.659 7.719
angles: 90.00 90.00 90.00
Positions (direct):
Tl 0.000 0.804 0.366
Tl 0.000 0.196 0.634
Tl 0.500 0.304 0.134
Tl 0.500 0.696 0.866
Sb 0.500 0.500 0.500
Sb 0.000 0.000 0.000

Entry 4:
Here is a relaxed Ba2AlH crystal from Alexandria. Energies are from PBEsol.

Results
The total DFT energy (no corrections) is -2.78 eV/atom.

abc: 5.607 5.607 5.607
angles: 60.00 60.00 60.00
Positions (direct):
Al 0.500 0.500 0.500
Ba 0.750 0.750 0.750
Ba 0.250 0.250 0.250
H 0.000 0.000 0.000

Entry 5:
Here is a relaxed MgSc2TiC crystal from Alexandria. Energies are from PBEsol.

Results
Its calculated formation energy is 1.958 eV per atom.

abc: 4.699 4.699 5.013
angles: 90.00 90.00 90.00
Positions (direct):
Ti 0.000 0.000 0.000
Mg 0.000 0.000 0.500
Sc 0.500 0.000 0.000
Sc 0.000 0.500 0.000
C 0.500 0.500 0.500

Entry 6:
Here is a relaxed Y3TlP crystal from Alexandria. Energies are from PBEsol.

Results
Its calculated formation energy is -0.749 eV per atom.

abc: 5.182 5.182 5.182
angles: 90.00 90.00 90.00
Positions (direct):
Tl 0.000 0.000 0.000
Y 0.500 0.500 0.000
Y 0.000 0.500 0.500
Y 0.500 0.000 0.500
P 0.500 0.500 0.500

Entry 7:
Here is a relaxed AcCl3 crystal from Alexandria. Energies are from PBEsol.

Results
For the uncorrected formation energy, the calculation gives -2498 meV/atom.

abc: 4.491 7.596 7.596
angles: 120.00 90.00 90.00
Positions (direct):
Cl 0.750 0.389 0.086
Cl 0.750 0.914 0.303
Cl 0.250 0.611 0.914
Cl 0.250 0.303 0.389
Cl 0.250 0.086 0.697
Cl 0.750 0.697 0.611
Ac 0.250 0.667 0.333
Ac 0.750 0.333 0.667

Entry 8:
Here is a relaxed La2Bi crystal from Alexandria. Energies are from PBEsol.

Results
Its calculated formation energy is -0.770 eV per atom.

abc: 4.620 4.620 9.740
angles: 103.72 103.72 90.00
Positions (direct):
Bi 0.138 0.138 0.276
Bi 0.862 0.862 0.724
La 0.500 0.000 0.000
La 0.680 0.680 0.359
La 0.320 0.320 0.641
La 0.000 0.500 0.000

Entry 9:
Here is a relaxed LaCu2Ir crystal from Alexandria. Energies are from PBEsol.

Results
As for the energy relative to the lowest polymorph listed for this composition: 260 meV/atom. Its calculated formation energy is 0.079 eV per atom.

abc: 3.470 3.470 5.639
angles: 90.00 90.00 90.00
Positions (direct):
Cu 0.000 0.000 0.205
Cu 0.000 0.000 0.795
Ir 0.500 0.500 0.000
La 0.500 0.500 0.500

Entry 10:
Here is a relaxed La3RuAu crystal from Alexandria. Energies are from PBEsol.

Results
Its calculated formation energy is -0.426 eV per atom.

abc: 4.002 7.369 9.990
angles: 106.02 90.00 105.76
Positions (direct):
Ru 0.023 0.046 0.172
Ru 0.977 0.954 0.828
La 0.086 0.172 0.670
La 0.914 0.828 0.330
La 0.642 0.284 0.366
La 0.358 0.716 0.634
La 0.381 0.762 0.014
La 0.619 0.238 0.986
Au 0.756 0.512 0.783
Au 0.244 0.488 0.217

Entry 11:
Here is a relaxed BeIrPt crystal from Alexandria. Energies are from PBEsol.

Results
As for the energy relative to the lowest polymorph listed for this composition: 0 meV/atom. Its calculated formation energy is -0.354 eV per atom.

abc: 2.750 2.750 5.211
angles: 105.30 105.30 90.00
Positions (direct):
Be 0.003 0.003 0.007
Pt 0.353 0.353 0.706
Ir 0.644 0.644 0.287

Entry 12:
Here is a relaxed MnAl2Cr crystal from Alexandria. Energies are from PBEsol.

Results
Its calculated formation energy is -0.130 eV per atom.

abc: 2.943 4.129 4.818
angles: 115.37 107.78 90.00
Positions (direct):
Mn 0.230 0.730 0.461
Al 0.984 0.984 0.969
Al 0.762 0.262 0.523
Cr 0.524 0.524 0.047

Record-wise DOS at the Fermi energy values, in states/eV per atom: 0.367 1.087 0.511 1.304 1.379 0.374 0.000 1.567 0.627 0.706 0.900 0.830